A plane-wave DFT calculation with GGA-PBE was carried out for an optimized crystal structure of TbPrSe2O.

abc: 4.0787 4.0787 14.6841
angles: 90.00 90.00 90.00
Last column: nearest neighbours and their distance in Å.
Positions (direct):
Tb 0.2500 0.2500 0.1236  5 Se 2.64-2.93
Tb 0.7500 0.7500 0.8764  5 Se 2.64-2.93
Pr 0.2500 0.2500 0.5823  4 O 2.37
Pr 0.7500 0.7500 0.4177  4 O 2.37
Se 0.2500 0.2500 0.3034  1 Tb 2.64
Se 0.2500 0.2500 0.9105  5 Tb 2.93-3.13
Se 0.7500 0.7500 0.0895  5 Tb 2.93-3.13
Se 0.7500 0.7500 0.6966  1 Tb 2.64
O 0.2500 0.7500 0.5000  4 Pr 2.37
O 0.7500 0.2500 0.5000  4 Pr 2.37

Values from the calculation:
Its uncorrected formation energy is -2375 meV/atom. Its density of states at the Fermi level is 0.89 states/eV/f.u. Its size of the total moment is 0.00 μB/cell.